[1]
DFT (PBE) results for a geometry-optimized K2Ag structure.

Results
formation energy from the elements	38.9	kJ per mole of atoms

Unit cell a=7.254 b=7.254 c=7.254 alpha=60.00 beta=60.00 gamma=60.00
Atoms (fractional coordinates):
K  0.000  0.000  0.000
K  0.000  0.000  0.500
K  0.000  0.500  0.000
K  0.500  0.000  0.000
Ag  0.375  0.375  0.375
Ag  0.625  0.625  0.625

[2]
DFT (PBE) results for a geometry-optimized K2Ag structure.

Results
formation energy from the elements	5.1	kJ per mole of atoms

Unit cell a=4.211 b=4.211 c=8.279 alpha=104.61 beta=104.61 gamma=90.25
Atoms (fractional coordinates):
K  0.126  0.126  0.254
K  0.874  0.874  0.746
Ag  0.500  0.500  0.000

[3]
DFT (PBE) results for a geometry-optimized KAg structure.

Results
polymorph energy (0 for the lowest one)	138.3	meV/atom
formation energy from the elements	14.7	kJ per mole of atoms

Unit cell a=4.281 b=7.301 c=7.301 alpha=101.19 beta=90.00 gamma=90.00
Atoms (fractional coordinates):
K  0.000  0.000  0.000
K  0.000  0.285  0.603
K  0.000  0.603  0.285
Ag  0.500  0.442  0.943
Ag  0.500  0.692  0.692
Ag  0.500  0.943  0.442

[4]
DFT (PBE) results for a geometry-optimized KAg3 structure.

Results
formation energy from the elements	14.6	kJ per mole of atoms

Unit cell a=4.984 b=4.984 c=6.948 alpha=96.11 beta=96.11 gamma=36.00
Atoms (fractional coordinates):
K  0.000  0.000  0.000
Ag  0.235  0.235  0.671
Ag  0.500  0.500  0.500
Ag  0.765  0.765  0.329

[5]
DFT (PBE) results for a geometry-optimized K2Ag3 structure.

Results
formation energy from the elements	9.9	kJ per mole of atoms

Unit cell a=9.022 b=9.022 c=9.022 alpha=31.08 beta=31.08 gamma=31.08
Atoms (fractional coordinates):
K  0.088  0.088  0.088
K  0.912  0.912  0.912
Ag  0.335  0.335  0.335
Ag  0.500  0.500  0.500
Ag  0.665  0.665  0.665

[6]
DFT (PBE) results for a geometry-optimized K2Ag structure.

Results
formation energy from the elements	5.5	kJ per mole of atoms

Unit cell a=11.415 b=11.415 c=11.415 alpha=60.00 beta=60.00 gamma=60.00
Atoms (fractional coordinates):
K  0.000  0.000  0.000
K  0.000  0.000  0.500
K  0.000  0.500  0.000
K  0.180  0.180  0.570
K  0.180  0.570  0.180
K  0.180  0.570  0.570
K  0.430  0.430  0.820
K  0.430  0.820  0.430
K  0.430  0.820  0.820
K  0.500  0.000  0.000
K  0.570  0.180  0.180
K  0.570  0.180  0.570
K  0.570  0.570  0.180
K  0.820  0.430  0.430
K  0.820  0.430  0.820
K  0.820  0.820  0.430
Ag  0.072  0.809  0.809
Ag  0.191  0.191  0.191
Ag  0.191  0.191  0.928
Ag  0.191  0.928  0.191
Ag  0.809  0.072  0.809
Ag  0.809  0.809  0.072
Ag  0.809  0.809  0.809
Ag  0.928  0.191  0.191

[7]
DFT (PBE) results for a geometry-optimized K4Ag structure.

Results
polymorph energy (0 for the lowest one)	14.9	meV/atom
formation energy from the elements	4.4	kJ per mole of atoms

Unit cell a=6.744 b=6.744 c=6.744 alpha=90.00 beta=90.00 gamma=90.00
Atoms (fractional coordinates):
K  0.000  0.000  0.000
K  0.000  0.500  0.500
K  0.500  0.000  0.500
K  0.500  0.500  0.000
Ag  0.500  0.500  0.500

[8]
DFT (PBE) results for a geometry-optimized KAg structure.

Results
polymorph energy (0 for the lowest one)	2.7	meV/atom
formation energy from the elements	1.7	kJ per mole of atoms

Unit cell a=4.814 b=4.814 c=16.622 alpha=90.00 beta=90.00 gamma=120.00
Atoms (fractional coordinates):
K  0.333  0.667  0.118
K  0.333  0.667  0.382
K  0.667  0.333  0.618
K  0.667  0.333  0.882
Ag  0.000  0.000  0.250
Ag  0.000  0.000  0.750
Ag  0.333  0.667  0.750
Ag  0.667  0.333  0.250

[9]
DFT (PBE) results for a geometry-optimized K2Ag structure.

Results
formation energy from the elements	8.8	kJ per mole of atoms

Unit cell a=8.322 b=8.584 c=4.315 alpha=90.00 beta=90.00 gamma=90.00
Atoms (fractional coordinates):
K  0.227  0.164  0.000
K  0.273  0.664  0.500
K  0.727  0.336  0.500
K  0.773  0.836  0.000
Ag  0.000  0.500  0.000
Ag  0.500  0.000  0.500

[10]
DFT (PBE) results for a geometry-optimized K4Ag structure.

Results
polymorph energy (0 for the lowest one)	17.9	meV/atom
formation energy from the elements	4.7	kJ per mole of atoms

Unit cell a=10.743 b=10.743 c=8.046 alpha=104.48 beta=104.48 gamma=128.11
Atoms (fractional coordinates):
K  0.049  0.434  0.241
K  0.182  0.308  0.733
K  0.308  0.182  0.233
K  0.434  0.049  0.741
K  0.566  0.951  0.259
K  0.692  0.818  0.767
K  0.818  0.692  0.267
K  0.951  0.566  0.759
Ag  0.432  0.568  0.250
Ag  0.568  0.432  0.750

[11]
DFT (PBE) results for a geometry-optimized KAg structure.

Results
polymorph energy (0 for the lowest one)	55.1	meV/atom
formation energy from the elements	6.7	kJ per mole of atoms

Unit cell a=9.742 b=9.742 c=5.360 alpha=90.00 beta=90.00 gamma=120.00
Atoms (fractional coordinates):
K  0.188  0.376  0.250
K  0.188  0.812  0.250
K  0.376  0.188  0.750
K  0.624  0.812  0.250
K  0.812  0.188  0.750
K  0.812  0.624  0.750
Ag  0.134  0.567  0.750
Ag  0.433  0.567  0.750
Ag  0.433  0.866  0.750
Ag  0.567  0.134  0.250
Ag  0.567  0.433  0.250
Ag  0.866  0.433  0.250

[12]
DFT (PBE) results for a geometry-optimized K7Ag6 structure.

Results
formation energy from the elements	28.1	kJ per mole of atoms

Unit cell a=10.470 b=10.470 c=10.470 alpha=47.78 beta=47.78 gamma=47.78
Atoms (fractional coordinates):
K  0.000  0.000  0.000
K  0.097  0.097  0.543
K  0.097  0.543  0.097
K  0.457  0.903  0.903
K  0.543  0.097  0.097
K  0.903  0.457  0.903
K  0.903  0.903  0.457
Ag  0.153  0.153  0.153
Ag  0.351  0.351  0.351
Ag  0.451  0.451  0.451
Ag  0.549  0.549  0.549
Ag  0.649  0.649  0.649
Ag  0.847  0.847  0.847

Computed values of electronic total energy (unit: Ry/atom) for the preceding records, in sequence: -0.0940, -0.1198, -0.1339, -0.1662, -0.1504, -0.1195, -0.1031, -0.1438, -0.1169, -0.1029, -0.1400, -0.1187.
Computed values of total magnetic moment (unit: μB per cell) for the preceding records, in sequence: 0.00, 0.00, 0.00, 0.00, 0.00, 0.00, 0.00, 0.00, 0.00, 0.00, 0.01, 0.00.